Computed, not measured: crystalline Ac4Al2Ni at its relaxed geometry at the PBE-GGA level of DFT.

Structure (extended XYZ):
```
7
Lattice="-2.7295 2.7295 8.3292 2.7295 -2.7295 8.3292 2.7295 2.7295 -8.3292" Properties=species:S:1:pos:R:3 pbc="T T T"
Ac 2.7295 0.0000 0.0000
Ac 0.0000 0.0000 3.0507
Ac 0.0000 2.7295 0.0000
Ac 0.0000 0.0000 13.6078
Al 0.0000 0.0000 6.2300
Al 0.0000 0.0000 10.4284
Ni 0.0000 0.0000 0.0000
```

Values from the calculation:
DFT formation energy: -0.0537 eV per atom



Computed, not measured: crystalline PaPd8S2 at its relaxed geometry at the PBE-GGA level of DFT.

Structure (extended XYZ):
```
11
Lattice="6.2421 -3.2543 0.0000 6.2421 3.2543 0.0000 -0.8850 0.0000 4.7244" Properties=species:S:1:pos:R:3 pbc="T T T"
Pa 0.0000 0.0000 0.0000
Pd 4.8449 1.4498 1.3822
Pd 2.6939 0.0000 0.4319
Pd 6.7544 1.4498 3.3422
Pd 4.3349 0.0000 3.7361
Pd 7.2644 0.0000 0.9883
Pd 4.8449 -1.4498 1.3822
Pd 8.9053 0.0000 4.2925
Pd 6.7544 -1.4498 3.3422
S 1.9670 0.0000 2.7036
S 9.6322 0.0000 2.0207
```

Values from the calculation:
energy relative to the elements, uncorrected: -33.4 kJ/mol of atoms



Computed, not measured: crystalline HgTeMoAu at its relaxed geometry at the PBE-GGA level of DFT.

Structure (extended XYZ):
```
4
Lattice="4.9042 -1.7078 0.0000 4.9042 1.7078 0.0000 -3.0359 0.0000 5.1660" Properties=species:S:1:pos:R:3 pbc="T T T"
Hg 0.0000 0.0000 0.0000
Te 6.7954 0.0000 2.1818
Mo 3.9320 0.0000 2.0910
Au -0.3083 0.0000 4.2479
```

Values from the calculation:
energy relative to the elements, uncorrected: 31.6 kJ/mol of atoms
distance to the lowest polymorph of the same formula: 0.57 eV/f.u.



Computed, not measured: crystalline Cr3Rh5 at its relaxed geometry at the PBE-GGA level of DFT.

Structure (extended XYZ):
```
16
Lattice="5.0529 -4.6655 0.0000 5.0529 4.6655 0.0000 -2.1635 0.0000 4.5770" Properties=species:S:1:pos:R:3 pbc="T T T"
Cr 3.4303 4.3485 3.4328
Cr 2.7225 1.9414 2.2368
Cr 6.3016 1.9414 0.0517
Cr 1.6407 -1.9414 4.5253
Cr 5.2198 -1.9414 2.3402
Cr 4.5120 -4.3485 1.1443
Rh 1.6812 2.7231 4.5038
Rh 0.8561 0.4129 3.3686
Rh 1.9379 -0.4129 1.0801
Rh 5.1793 2.7231 2.3617
Rh 4.5120 0.3518 1.1443
Rh 3.4303 -0.3518 3.4328
Rh 2.7630 -2.7231 2.2153
Rh 6.0044 0.4129 3.4969
Rh 7.0862 -0.4129 1.2084
Rh 6.2611 -2.7231 0.0732
```

Values from the calculation:
DFT formation energy: -0.1001 eV per atom



Computed, not measured: crystalline CoPb4 at its relaxed geometry at the PBE-GGA level of DFT.

Structure (extended XYZ):
```
5
Lattice="5.1749 0.0000 0.0000 0.0000 5.1749 0.0000 0.0000 0.0000 5.1749" Properties=species:S:1:pos:R:3 pbc="T T T"
Co 0.0000 0.0000 0.0000
Pb 0.0000 0.0000 2.5874
Pb 0.0000 2.5874 0.0000
Pb 2.5874 0.0000 0.0000
Pb 2.5874 2.5874 2.5874
```

Values from the calculation:
DFT formation energy: 0.2215 eV per atom



Which uncorrected energy belongs to each record? In order, -4.30 -5.74 -4.06 -8.30 -4.17 eV/atom.
Which volume belongs to each record? In order, 248.2 191.9 86.5 215.8 138.6 Å³ per cell.